(1)
## ScSb2Mo (GGA-PBE)

Data for a geometry-optimized ScSb2Mo structure.

Unit cell a=4.9158 b=4.9158 c=4.9158 alpha=60.00 beta=60.00 gamma=60.00
Last column: nearest neighbours and their distance in Å.
Fractional positions:
Sb (0.2500, 0.2500, 0.2500)  4 Sb 3.01, 4 Sc 3.01
Sb (0.5000, 0.5000, 0.5000)  4 Mo 3.01, 4 Sb 3.01
Sc (0.0000, 0.0000, 0.0000)  4 Mo 3.01, 4 Sb 3.01
Mo (0.7500, 0.7500, 0.7500)  4 Sb 3.01, 4 Sc 3.01

Results
As for the magnetization: 0.996 μB per formula unit. The electronic total energy comes out at -0.2257 hartree per atom. The space group is F-43m (216).



(2)
## LuNbNO (GGA-PBE)

Data for a geometry-optimized LuNbNO structure.

Unit cell a=3.9514 b=3.9514 c=7.6945 alpha=90.00 beta=90.00 gamma=90.00
Last column: nearest neighbours and their distance in Å.
Fractional positions:
O (0.0000, 0.0000, 0.0000)  4 Lu 2.19
O (0.5000, 0.5000, 0.0000)  4 Lu 2.19
Nb (0.0000, 0.0000, 0.5000)  4 N 2.13
Nb (0.5000, 0.5000, 0.5000)  4 N 2.13
N (0.0000, 0.5000, 0.6020)  4 Nb 2.13
N (0.5000, 0.0000, 0.3980)  4 Nb 2.13
Lu (0.0000, 0.5000, 0.1240)  4 O 2.19
Lu (0.5000, 0.0000, 0.8760)  4 O 2.19

Results
The energy relative to the lowest polymorph listed for this composition is 0.0 meV/atom. As for the magnetization: 0.005 μB per formula unit. The electronic total energy comes out at -0.3216 hartree per atom. The space group is P4/nmm (129).



(3)
## NbGaGe (GGA-PBE)

Data for a geometry-optimized NbGaGe structure.

Unit cell a=4.3474 b=4.3474 c=4.3474 alpha=60.00 beta=60.00 gamma=60.00
Last column: nearest neighbours and their distance in Å.
Fractional positions:
Ge (0.0000, 0.0000, 0.0000)  4 Nb 2.66, 4 Ga 2.66
Nb (0.7500, 0.7500, 0.7500)  4 Ge 2.66
Ga (0.2500, 0.2500, 0.2500)  4 Ge 2.66

Results
As for the magnetization: 1.683 μB per formula unit. The electronic total energy comes out at -0.2027 hartree per atom. The space group is F-43m (216).



(4)
## LuSbNO (GGA-PBE)

Data for a geometry-optimized LuSbNO structure.

Unit cell a=3.5346 b=5.6285 c=6.7449 alpha=90.00 beta=90.00 gamma=90.00
Last column: nearest neighbours and their distance in Å.
Fractional positions:
Lu (0.0000, 0.0167, 0.6459)  2 O 2.09, 2 N 2.22-2.25
Lu (0.0000, 0.5167, 0.3541)  2 O 2.09, 2 N 2.22-2.25
O (0.5000, 0.3240, 0.3151)  2 Lu 2.09, 1 Sb 2.17
O (0.5000, 0.8240, 0.6849)  2 Lu 2.09, 1 Sb 2.17
Sb (0.5000, 0.4976, 0.8566)  1 O 2.17, 2 N 2.21
Sb (0.5000, 0.9976, 0.1434)  1 O 2.17, 2 N 2.21
N (0.0000, 0.9156, 0.3281)  2 Sb 2.21, 2 Lu 2.22-2.25
N (0.0000, 0.4156, 0.6719)  2 Sb 2.21, 2 Lu 2.22-2.25

Results
The energy relative to the lowest polymorph listed for this composition is 218.4 meV/atom. As for the magnetization: 0.001 μB per formula unit. The electronic total energy comes out at -0.2479 hartree per atom. The space group is Pmc2_1 (26).



(5)
## Nb4PAuN2 (GGA-PBE)

Data for a geometry-optimized Nb4PAuN2 structure.

Unit cell a=3.2696 b=3.2696 c=12.4095 alpha=90.00 beta=90.00 gamma=120.00
Last column: nearest neighbours and their distance in Å.
Fractional positions:
P (0.0000, 0.0000, 0.5000)  6 Nb 2.56
Au (0.6667, 0.3333, 0.0000)  6 Nb 2.92
N (0.3333, 0.6667, 0.2597)  6 Nb 2.13-2.27
N (0.3333, 0.6667, 0.7403)  6 Nb 2.13-2.27
Nb (0.6667, 0.3333, 0.3611)  3 N 2.27
Nb (0.0000, 0.0000, 0.8207)  3 N 2.13
Nb (0.0000, 0.0000, 0.1793)  3 N 2.13
Nb (0.6667, 0.3333, 0.6389)  3 N 2.27

Results
As for the magnetization: 0.002 μB per formula unit. The electronic total energy comes out at -0.3283 hartree per atom. The space group is P-6m2 (187).



(6)
## KTmW (GGA-PBE)

Data for a geometry-optimized KTmW structure.

Unit cell a=5.2093 b=5.2093 c=5.2093 alpha=60.00 beta=60.00 gamma=60.00
Last column: nearest neighbours and their distance in Å.
Fractional positions:
W (0.7500, 0.7500, 0.7500)  4 Tm 3.19
K (0.2500, 0.2500, 0.2500)  4 Tm 3.19
Tm (0.0000, 0.0000, 0.0000)  4 W 3.19, 4 K 3.19

Results
The energy relative to the lowest polymorph listed for this composition is 0.0 meV/atom. As for the magnetization: 3.760 μB per formula unit. The electronic total energy comes out at -0.1490 hartree per atom. The space group is F-43m (216).



(7)
## BeNbCoHg (GGA-PBE)

Data for a geometry-optimized BeNbCoHg structure.

Unit cell a=4.2975 b=4.2975 c=4.2975 alpha=60.00 beta=60.00 gamma=60.00
Last column: nearest neighbours and their distance in Å.
Fractional positions:
Be (0.7500, 0.7500, 0.7500)  4 Hg 2.63, 4 Nb 2.63
Hg (0.0000, 0.0000, 0.0000)  4 Co 2.63, 4 Be 2.63
Co (0.2500, 0.2500, 0.2500)  4 Nb 2.63, 4 Hg 2.63
Nb (0.5000, 0.5000, 0.5000)  4 Co 2.63, 4 Be 2.63

Results
The energy relative to the lowest polymorph listed for this composition is 0.0 meV/atom. As for the magnetization: 0.002 μB per formula unit. The electronic total energy comes out at -0.1894 hartree per atom. The space group is F-43m (216).



(8)
## HfZr2Co2 (GGA-PBE)

Data for a geometry-optimized HfZr2Co2 structure.

Unit cell a=5.7728 b=5.7728 c=5.7728 alpha=135.87 beta=135.87 gamma=64.18
Last column: nearest neighbours and their distance in Å.
Fractional positions:
Hf (0.0000, 0.0000, 0.0000)  8 Co 3.25, 8 Zr 3.27
Zr (0.7500, 0.2500, 0.5000)  4 Co 2.57
Zr (0.2500, 0.7500, 0.5000)  4 Co 2.57
Co (0.3901, 0.3901, 0.0000)  1 Co 2.15
Co (0.6099, 0.6099, 0.0000)  1 Co 2.15

Results
The value obtained for the energy relative to the elements is -0.051 eV per atom. The energy relative to the lowest polymorph listed for this composition is 0.0 meV/atom. As for the magnetization: 0.002 μB per formula unit. The electronic total energy comes out at -0.3051 hartree per atom. The space group is I4/mmm (139).



(9)
## LaTa3S (GGA-PBE)

Data for a geometry-optimized LaTa3S structure.

Unit cell a=4.9616 b=4.9616 c=4.9616 alpha=90.00 beta=90.00 gamma=90.00
Last column: nearest neighbours and their distance in Å.
Fractional positions:
Ta (0.5000, 0.0000, 0.0000)  2 La 2.48
Ta (0.0000, 0.0000, 0.5000)  2 La 2.48
Ta (0.0000, 0.5000, 0.0000)  2 La 2.48
La (0.0000, 0.0000, 0.0000)  6 Ta 2.48
S (0.5000, 0.5000, 0.5000)  12 Ta 3.51

Results
As for the magnetization: 0.003 μB per formula unit. The electronic total energy comes out at -0.2357 hartree per atom. The space group is Pm-3m (221).



(10)
## SmZrAsO (GGA-PBE)

Data for a geometry-optimized SmZrAsO structure.

Unit cell a=4.1287 b=4.1287 c=8.6492 alpha=90.00 beta=90.00 gamma=90.00
Last column: nearest neighbours and their distance in Å.
Fractional positions:
Sm (0.5000, 0.5000, 0.5000)  4 Sm 2.92, 4 As 2.96
Sm (0.0000, 0.0000, 0.5000)  4 Sm 2.92, 4 As 2.96
O (0.0000, 0.0000, 0.0000)  4 Zr 2.26
O (0.5000, 0.5000, 0.0000)  4 Zr 2.26
Zr (0.5000, 0.0000, 0.1054)  4 O 2.26
Zr (0.0000, 0.5000, 0.8946)  4 O 2.26
As (0.5000, 0.0000, 0.7449)  4 Sm 2.96, 4 O 3.02, 5 Zr 3.12-3.19
As (0.0000, 0.5000, 0.2551)  4 Sm 2.96, 4 O 3.02, 5 Zr 3.12-3.19

Results
The energy relative to the lowest polymorph listed for this composition is 551.4 meV/atom. As for the magnetization: 0.008 μB per formula unit. The electronic total energy comes out at -0.2616 hartree per atom. The space group is P4/nmm (129).



(11)
## TeAu2S (GGA-PBE)

Data for a geometry-optimized TeAu2S structure.

Unit cell a=5.0743 b=5.0743 c=6.4923 alpha=102.84 beta=102.84 gamma=43.87
Last column: nearest neighbours and their distance in Å.
Fractional positions:
Te (0.1453, 0.1453, 0.7276)  3 Au 2.59-2.66
Au (0.9938, 0.9938, 0.0118)  1 S 2.34, 1 Te 2.59
Au (0.4949, 0.4949, 0.4810)  2 S 2.45, 2 Te 2.66
S (0.8659, 0.8659, 0.2796)  3 Au 2.34-2.45

Results
The electronic total energy comes out at -0.1294 hartree per atom. The space group is Cm (8).